DFT (PBE) results for a relaxed structure of CrCd2BAs.

## Properties
Energy of formation in eV/atom: 1.64

Lattice parameters (Å, degrees): 5.2682 5.2682 3.9264 90.00 90.00 90.00
With the nearest neighbours (Å) after each atom.
Space group P4/mmm (No. 123)
One atom of each set of equivalent atoms:
Cr 0.0000 0.0000 0.0000  8 Cd 3.29
Cd 0.0000 0.5000 0.5000  2 As 2.63
B 0.5000 0.5000 0.0000  2 As 1.96
As 0.5000 0.5000 0.5000  2 B 1.96

DFT (PBE) results for a relaxed structure of Mg6ZnSn.

## Properties
Energy of formation in eV/atom: -0.04

Lattice parameters (Å, degrees): 4.9407 6.6225 10.6983 90.00 90.00 90.00
With the nearest neighbours (Å) after each atom.
Space group Amm2 (No. 38)
One atom of each set of equivalent atoms:
Mg 0.0000 0.0000 0.0000  2 Sn 3.08, 10 Mg 3.09-3.31
Mg 0.0000 0.0000 0.4992  2 Zn 3.05, 10 Mg 3.06-3.31
Mg 0.0000 0.2370 0.2536  2 Zn 3.04, 7 Mg 3.06-3.23, 2 Sn 3.12
Mg 0.5000 0.2493 0.0780  8 Mg 3.09-3.32, 2 Zn 3.12-3.17, 2 Sn 3.14-3.15
Zn 0.5000 0.0000 0.3315  10 Mg 3.04-3.17, 2 Sn 3.31
Sn 0.5000 0.0000 0.8273  10 Mg 3.08-3.15, 2 Zn 3.31

DFT (PBE) results for a relaxed structure of Cs2BeO2.

## Properties
Energy in Ry/atom: -0.3514

Lattice parameters (Å, degrees): 4.4318 4.4318 12.8818 90.00 90.00 90.00
With the nearest neighbours (Å) after each atom.
Space group I4/mmm (No. 139)
One atom of each set of equivalent atoms:
Cs 0.0000 0.0000 0.1536  5 O 3.02-3.18
Be 0.0000 0.0000 0.5000  2 O 1.44
O 0.0000 0.0000 0.3882  1 Be 1.44

DFT (PBE) results for a relaxed structure of ScNiMo.

## Properties
Energy of formation in eV/atom: -0.12

Lattice parameters (Å, degrees): 4.8295 4.1217 5.2965 90.00 106.84 90.00
With the nearest neighbours (Å) after each atom.
Space group P2_1/m (No. 11)
One atom of each set of equivalent atoms:
Sc 0.0624 0.2500 0.2417  4 Ni 2.59-2.81
Ni 0.3815 0.7500 0.5567  2 Ni 2.51, 3 Mo 2.54-2.56, 4 Sc 2.59-2.81
Mo 0.4499 0.2500 0.8561  2 Mo 2.53, 3 Ni 2.54-2.56

DFT (PBE) results for a relaxed structure of La2ZnRe.

## Properties
Energy of formation in eV/atom: 0.41

Lattice parameters (Å, degrees): 8.2236 8.2236 6.0611 90.00 90.00 90.00
With the nearest neighbours (Å) after each atom.
Space group I-42d (No. 122)
One atom of each set of equivalent atoms:
La 0.2043 0.2500 0.1250  2 Re 2.76
Zn 0.0000 0.0000 0.5000  2 Re 3.03, 4 La 3.27
Re 0.0000 0.0000 0.0000  4 La 2.76, 2 Zn 3.03

DFT (PBE) results for a relaxed structure of PmPaMo2N6.

## Properties
Energy in Ry/atom: -0.6947

Lattice parameters (Å, degrees): 10.7125 9.5487 6.0957 90.00 106.80 90.00
With the nearest neighbours (Å) after each atom.
Space group C2/c (No. 15)
One atom of each set of equivalent atoms:
Pm 0.0000 0.0888 0.2500  6 N 2.34-2.53
Pa 0.0000 0.3186 0.7500  4 N 2.24-2.40
Mo 0.2027 0.4036 0.2585  4 N 1.85-1.95
N 0.1165 0.1232 0.6569  1 Mo 1.87
N 0.1182 0.2491 0.0993  1 Mo 1.85
N 0.1365 0.4664 0.5086  2 Mo 1.93-1.95

DFT (PBE) results for a relaxed structure of VFeCuSi.

## Properties
Energy in Ry/atom: -0.5135

Lattice parameters (Å, degrees): 5.7190 5.7190 5.7190 90.00 90.00 90.00
With the nearest neighbours (Å) after each atom.
Space group F-43m (No. 216)
One atom of each set of equivalent atoms:
V 0.0000 0.0000 0.0000  4 Fe 2.48, 4 Cu 2.48
Fe 0.2500 0.2500 0.7500  4 Si 2.48, 4 V 2.48
Cu 0.2500 0.2500 0.2500  4 V 2.48, 4 Si 2.48
Si 0.0000 0.0000 0.5000  4 Cu 2.48, 4 Fe 2.48

DFT (PBE) results for a relaxed structure of BeInHg.

## Properties
Energy of formation in eV/atom: 0.44

Lattice parameters (Å, degrees): 4.0116 4.0116 7.6726 90.00 90.00 90.00
With the nearest neighbours (Å) after each atom.
Space group I4mm (No. 107)
One atom of each set of equivalent atoms:
Be 0.0000 0.0000 0.0000  1 Hg 2.42, 1 In 2.50
In 0.0000 0.0000 0.6740  1 Be 2.50, 1 Hg 2.75
Hg 0.0000 0.0000 0.3156  1 Be 2.42

DFT (PBE) results for a relaxed structure of ErZrFePd.

## Properties
Energy of formation in eV/atom: -0.33

Lattice parameters (Å, degrees): 6.6517 6.6517 6.6517 90.00 90.00 90.00
With the nearest neighbours (Å) after each atom.
Space group F-43m (No. 216)
One atom of each set of equivalent atoms:
Er 0.0000 0.0000 0.0000  4 Fe 2.88, 4 Pd 2.88
Zr 0.0000 0.0000 0.5000  4 Pd 2.88, 4 Fe 2.88
Fe 0.2500 0.2500 0.2500  4 Zr 2.88, 4 Er 2.88
Pd 0.2500 0.2500 0.7500  4 Zr 2.88, 4 Er 2.88

DFT (PBE) results for a relaxed structure of GeHRh2.

## Properties
Energy in Ry/atom: -0.4168

Lattice parameters (Å, degrees): 2.8893 2.8893 21.3840 90.00 90.00 120.00
With the nearest neighbours (Å) after each atom.
Space group R-3m (No. 166, hexagonal axes)
One atom of each set of equivalent atoms:
Ge 0.0000 0.0000 0.0000  6 Rh 2.51
H 0.0000 0.0000 0.5000  2 Rh 1.69
Rh 0.0000 0.0000 0.4210  1 H 1.69

DFT (PBE) results for a relaxed structure of BaAu.

## Properties
Energy of formation in eV/atom: -0.25

Lattice parameters (Å, degrees): 9.1559 9.1559 9.1559 90.00 90.00 90.00
With the nearest neighbours (Å) after each atom.
Space group Pm-3n (No. 223)
One atom of each set of equivalent atoms:
Ba 0.0000 0.2500 0.5000  4 Au 3.24
Au 0.0000 0.5000 0.2500  4 Ba 3.24

DFT (PBE) results for a relaxed structure of NaZnInRh.

## Properties
Energy of formation in eV/atom: -0.12

Lattice parameters (Å, degrees): 6.5365 6.5365 6.5365 90.00 90.00 90.00
With the nearest neighbours (Å) after each atom.
Space group F-43m (No. 216)
One atom of each set of equivalent atoms:
Na 0.0000 0.0000 0.0000  4 In 2.83, 4 Zn 2.83
Zn 0.2500 0.2500 0.2500  4 Na 2.83, 4 Rh 2.83
In 0.2500 0.2500 0.7500  4 Na 2.83, 4 Rh 2.83
Rh 0.0000 0.0000 0.5000  4 In 2.83, 4 Zn 2.83

DFT (PBE) results for a relaxed structure of Ac6CN2.

## Properties
Energy in Ry/atom: -0.4382

Lattice parameters (Å, degrees): 13.8234 3.9789 11.3134 90.00 97.27 90.00
With the nearest neighbours (Å) after each atom.
Space group C2/m (No. 12)
One atom of each set of equivalent atoms:
Ac 0.1097 0.0000 0.4068  1 N 2.59, 2 C 2.79
Ac 0.1267 0.5000 0.7131  1 N 2.47
Ac 0.1442 0.5000 0.1046  2 N 2.42
C 0.0000 0.5000 0.5000  6 Ac 2.79
N 0.1966 0.0000 0.2168  4 Ac 2.42-2.59

DFT (PBE) results for a relaxed structure of AlVNi3.

## Properties
Energy of formation in eV/atom: 0.73

Lattice parameters (Å, degrees): 4.2202 4.2202 4.2202 90.00 90.00 90.00
With the nearest neighbours (Å) after each atom.
Space group Pm-3m (No. 221)
One atom of each set of equivalent atoms:
Al 0.0000 0.0000 0.0000  6 Ni 2.11
V 0.5000 0.5000 0.5000  12 Ni 2.98
Ni 0.0000 0.0000 0.5000  2 Al 2.11

DFT (PBE) results for a relaxed structure of Er2InTe.

## Properties
Energy in Ry/atom: -0.3283

Lattice parameters (Å, degrees): 3.9884 3.9884 25.3161 90.00 90.00 120.00
With the nearest neighbours (Å) after each atom.
Space group R3m (No. 160, hexagonal axes)
One atom of each set of equivalent atoms:
Er 0.0000 0.0000 0.0000  3 Te 3.05, 3 In 3.22
Er 0.0000 0.0000 0.1766  3 Te 3.02, 3 In 3.20
In 0.0000 0.0000 0.7555  6 Er 3.20-3.22
Te 0.0000 0.0000 0.5874  6 Er 3.02-3.05

DFT (PBE) results for a relaxed structure of Ir2Pt2Rh5.

## Properties
Energy of formation in eV/atom: 0.16

Lattice parameters (Å, degrees): 8.5478 3.8501 8.4625 90.00 92.25 90.00
With the nearest neighbours (Å) after each atom.
Space group C2/m (No. 12)
One atom of each set of equivalent atoms:
Ir 0.2164 0.0000 0.4050  2 Ir 2.56, 6 Rh 2.63-2.68, 1 Pt 2.69
Pt 0.1943 0.5000 0.8965  1 Ir 2.69, 9 Rh 2.70-2.82, 2 Pt 2.75
Rh 0.0000 0.0000 0.0000  6 Pt 2.71-2.72, 6 Rh 2.77-2.83
Rh 0.0868 0.0000 0.6813  4 Ir 2.63-2.68, 4 Rh 2.70-2.83, 2 Pt 2.78
Rh 0.1057 0.5000 0.2144  2 Ir 2.66, 4 Pt 2.70-2.82, 5 Rh 2.70-2.77

DFT (PBE) results for a relaxed structure of Ge2TeN.

## Properties
Energy in Ry/atom: -0.2916

Lattice parameters (Å, degrees): 6.6471 6.6471 6.6471 90.00 90.00 90.00
With the nearest neighbours (Å) after each atom.
Space group Fm-3m (No. 225)
One atom of each set of equivalent atoms:
Ge 0.2500 0.2500 0.2500  4 Te 2.88, 4 N 2.88
Te 0.0000 0.0000 0.0000  8 Ge 2.88
N 0.0000 0.0000 0.5000  8 Ge 2.88

DFT (PBE) results for a relaxed structure of BaBeCu2.

## Properties
Energy of formation in eV/atom: 0.04

Lattice parameters (Å, degrees): 7.1274 4.1147 6.1410 90.00 112.46 90.00
With the nearest neighbours (Å) after each atom.
Space group C2/m (No. 12)
One atom of each set of equivalent atoms:
Ba 0.0000 0.0000 0.0000  8 Cu 3.16-3.47
Be 0.0000 0.5000 0.5000  6 Cu 2.40
Cu 0.1853 0.0000 0.5563  3 Be 2.40, 3 Cu 2.46

DFT (PBE) results for a relaxed structure of Pa2Si4Ni3Ir.

## Properties
Energy in Ry/atom: -0.5528

Lattice parameters (Å, degrees): 4.0411 4.0411 9.4513 90.00 90.00 90.00
With the nearest neighbours (Å) after each atom.
Space group P-4m2 (No. 115)
One atom of each set of equivalent atoms:
Pa 0.0000 0.5000 0.2464  8 Si 3.06-3.08, 6 Ni 3.09-3.14, 2 Ir 3.14
Si 0.0000 0.0000 0.0000  4 Ni 2.32
Si 0.0000 0.5000 0.6376  3 Ni 2.28-2.40, 2 Ir 2.40
Si 0.5000 0.5000 0.0000  4 Ni 2.32
Ni 0.0000 0.5000 0.8792  5 Si 2.28-2.32
Ni 0.5000 0.5000 0.5000  4 Si 2.40
Ir 0.0000 0.0000 0.5000  4 Si 2.40

DFT (PBE) results for a relaxed structure of PmNdSmSn.

## Properties
Energy of formation in eV/atom: -0.25

Lattice parameters (Å, degrees): 7.8412 7.8412 7.8412 90.00 90.00 90.00
With the nearest neighbours (Å) after each atom.
Space group F-43m (No. 216)
One atom of each set of equivalent atoms:
Pm 0.0000 0.0000 0.0000  4 Nd 3.40, 4 Sm 3.40
Nd 0.2500 0.2500 0.7500  4 Sn 3.40, 4 Pm 3.40
Sm 0.2500 0.2500 0.2500  4 Pm 3.40, 4 Sn 3.40
Sn 0.0000 0.0000 0.5000  4 Sm 3.40, 4 Nd 3.40

DFT (PBE) results for a relaxed structure of Zr2MnAuN.

## Properties
Energy in Ry/atom: -0.4643

Lattice parameters (Å, degrees): 4.6972 4.6972 4.6078 90.00 90.00 90.00
With the nearest neighbours (Å) after each atom.
Space group P4/mmm (No. 123)
One atom of each set of equivalent atoms:
Zr 0.0000 0.5000 0.0000  2 Mn 2.35
Mn 0.0000 0.0000 0.0000  2 Au 2.30, 4 Zr 2.35
Au 0.0000 0.0000 0.5000  2 Mn 2.30
N 0.5000 0.5000 0.5000  8 Zr 3.29, 4 Au 3.32

DFT (PBE) results for a relaxed structure of KTl2Cd.

## Properties
Energy of formation in eV/atom: 0.01

Lattice parameters (Å, degrees): 5.1235 5.1235 4.8645 90.00 90.00 90.00
With the nearest neighbours (Å) after each atom.
Space group P4/mmm (No. 123)
One atom of each set of equivalent atoms:
K 0.0000 0.0000 0.0000  8 Tl 3.53, 4 Cd 3.62
Tl 0.0000 0.5000 0.5000  4 Cd 3.53, 4 K 3.53, 4 Tl 3.62
Cd 0.5000 0.5000 0.0000  8 Tl 3.53, 4 K 3.62

DFT (PBE) results for a relaxed structure of Zr3SbO.

## Properties
Energy in Ry/atom: -0.5844

Lattice parameters (Å, degrees): 3.7524 7.4190 8.2348 100.68 90.11 104.59
With the nearest neighbours (Å) after each atom.
Space group P-1 (No. 2)
One atom of each set of equivalent atoms:
Zr 0.0078 0.0209 0.3197  1 O 2.29
Zr 0.1795 0.3522 0.1440  1 O 2.19
Zr 0.3362 0.6733 0.4695  3 O 2.14-2.32
Sb 0.3739 0.7538 0.1286  6 Zr 2.91-2.97
O 0.1721 0.3439 0.4079  5 Zr 2.14-2.32

DFT (PBE) results for a relaxed structure of MnVIr.

## Properties
Energy of formation in eV/atom: -0.19

Lattice parameters (Å, degrees): 4.6557 8.0205 4.5577 90.00 110.45 90.00
With the nearest neighbours (Å) after each atom.
Space group C2 (No. 5)
One atom of each set of equivalent atoms:
Mn 0.0000 0.0000 0.0000  6 Ir 2.60-2.72, 2 Mn 2.62, 4 V 2.63-2.64
Mn 0.0000 0.1615 0.5000  2 Mn 2.62, 4 Ir 2.63, 6 V 2.63-2.71
V 0.0000 0.4968 0.5000  5 Mn 2.63-2.69, 4 Ir 2.64-2.67, 3 V 2.67-2.70
V 0.0000 0.8336 0.5000  4 Ir 2.63-2.66, 5 Mn 2.63-2.71, 3 V 2.67-2.70
Ir 0.0000 0.3244 0.0000  5 Mn 2.60-2.72, 4 V 2.63-2.67, 3 Ir 2.66-2.72
Ir 0.0000 0.6633 0.0000  5 Mn 2.63-2.70, 4 V 2.64-2.66, 3 Ir 2.66-2.72

DFT (PBE) results for a relaxed structure of PuU2Mn.

## Properties
Energy of formation in eV/atom: 0.21

Lattice parameters (Å, degrees): 3.4303 3.4303 6.4119 90.00 90.00 90.00
With the nearest neighbours (Å) after each atom.
Space group P4/mmm (No. 123)
One atom of each set of equivalent atoms:
Pu 0.0000 0.0000 0.0000  8 U 3.06, 2 Mn 3.21, 4 Pu 3.43
U 0.5000 0.5000 0.2918  1 U 2.67, 4 Mn 2.77
Mn 0.0000 0.0000 0.5000  8 U 2.77

DFT (PBE) results for a relaxed structure of DyEr3Cu.

## Properties
Energy of formation in eV/atom: 0.12

Lattice parameters (Å, degrees): 5.3186 5.3186 5.3186 90.00 90.00 90.00
With the nearest neighbours (Å) after each atom.
Space group Pm-3m (No. 221)
One atom of each set of equivalent atoms:
Dy 0.0000 0.0000 0.0000  12 Er 3.76
Er 0.0000 0.5000 0.5000  2 Cu 2.66
Cu 0.5000 0.5000 0.5000  6 Er 2.66

DFT (PBE) results for a relaxed structure of CdBr4Cl.

## Properties
Energy in Ry/atom: -0.0848

Lattice parameters (Å, degrees): 8.7123 8.7123 8.7123 90.00 90.00 90.00
With the nearest neighbours (Å) after each atom.
Space group F-43m (No. 216)
One atom of each set of equivalent atoms:
Cd 0.0000 0.0000 0.0000  12 Br 3.61, 4 Cl 3.77
Br 0.1258 0.1258 0.3742  6 Br 3.06-3.10
Cl 0.2500 0.2500 0.7500  12 Br 3.61, 4 Cd 3.77

no.,total moment (μB/cell)
1,0.33
2,0.00
3,0.00
4,0.00
5,0.00
6,0.00
7,0.00
8,0.00
9,0.00
10,0.00
11,4.31
12,0.00
13,0.00
14,3.43
15,0.00
16,0.00
17,0.00
18,0.00
19,0.00
20,0.00
21,0.00
22,0.00
23,0.00
24,3.21
25,5.52
26,0.00
27,0.00